Co7Sb2O12 PBE with a Hubbard U relaxed; relative energy among the computed polymorphs = 119.8 meV per atom; raw total energy = -6.011 eV per atom; space-group type = C2 (5)
1.0
6.0495 -0.0235 -0.0163
2.9682 5.2713 -0.0163
0.0263 0.0153 15.1153
O Co Sb
24 14 4
Cartesian
5.5273 0.8266 4.0315 O
5.5064 2.4329 6.2017 O
3.9075 1.8216 1.3447 O
1.0843 1.8136 1.3410 O
2.4403 0.7628 11.3220 O
2.5941 4.4777 8.8309 O
5.5298 2.7657 13.7381 O
6.9315 5.2163 13.7418 O
4.0570 3.6909 11.3022 O
4.1312 5.1992 13.7708 O
5.5168 4.3821 1.0514 O
5.5946 0.8658 11.0513 O
4.2084 1.6775 8.8810 O
7.1752 3.5182 3.7608 O
6.8580 3.6257 11.2592 O
1.0361 1.6700 8.8715 O
7.0801 5.1873 6.2113 O
2.5035 1.0917 3.8236 O
5.5130 4.3959 8.9891 O
3.8693 5.2198 6.2519 O
2.4984 2.6416 6.0937 O
3.8307 3.5592 3.7805 O
2.5086 2.6315 14.0314 O
2.4826 4.2398 1.3120 O
5.5961 0.8735 13.0937 Co
2.3981 2.7180 12.1233 Co
5.4911 4.2384 6.9325 Co
5.5206 0.9156 7.5414 Co
7.0439 3.5061 15.0895 Co
7.0100 1.7307 5.0884 Co
5.5410 2.6148 9.9978 Co
3.9978 3.5022 -0.0163 Co
4.0761 0.0233 9.9944 Co
5.5199 0.8291 1.9891 Co
2.5157 0.8710 -0.0067 Co
4.0332 1.7373 5.0850 Co
5.4961 4.5209 2.9595 Co
2.6462 2.5827 8.1503 Co
2.4886 2.6243 2.4970 Sb
8.5134 4.3874 5.1046 Sb
1.0235 0.0287 9.9782 Sb
5.5328 4.3959 12.5858 Sb

***

CoSbO3 PBE with a Hubbard U relaxed; raw total energy = -5.389 eV per atom; space-group type = Pm-3m (221)
1.0
3.9930 0.0000 0.0000
0.0000 3.9930 0.0000
0.0000 0.0000 3.9930
Sb Co O
1 1 3
Cartesian
0.0000 0.0000 0.0000 Sb
1.9965 1.9965 1.9965 Co
1.9965 0.0000 0.0000 O
0.0000 1.9965 0.0000 O
0.0000 0.0000 1.9965 O

***

Co7Sb2O12 PBE with a Hubbard U relaxed; relative energy among the computed polymorphs = 124.3 meV per atom; raw total energy = -6.007 eV per atom; space-group type = C2/m (12)
1.0
6.0778 0.0478 -0.0544
3.1109 5.2215 -0.0544
-0.0818 -0.0469 15.2332
O Co Sb
24 14 4
Cartesian
9.1590 5.2523 4.0164 O
7.5897 2.7054 3.6544 O
6.1683 5.1842 3.6544 O
1.5978 0.9163 13.9295 O
2.9563 1.6953 9.1364 O
6.0697 1.6545 8.7554 O
4.6133 0.8193 6.3690 O
3.0371 3.5679 6.3690 O
7.5090 4.3061 1.1948 O
1.3450 0.7713 6.3448 O
1.5171 2.5169 11.4700 O
3.0547 3.3261 13.9230 O
5.9627 3.4194 14.0914 O
7.7618 4.4511 8.7796 O
2.9385 0.0382 11.4700 O
4.4135 0.9566 13.9230 O
4.7952 2.7498 3.7280 O
4.4935 4.4031 8.7554 O
4.3116 2.4725 11.3964 O
6.1505 3.5270 5.9880 O
4.6933 4.2658 1.2014 O
3.1441 1.8030 1.0330 O
-0.0522 -0.0299 11.1080 O
6.0521 1.8963 1.2014 O
6.0943 1.7799 5.0694 Co
3.0389 0.0239 -0.0272 Co
2.9829 1.7105 7.1331 Co
1.5554 2.6108 -0.0272 Co
3.1649 1.8149 3.1393 Co
5.9419 3.4074 11.9850 Co
-0.0145 -0.0083 13.0121 Co
9.1213 5.2307 2.1122 Co
1.4566 0.8353 10.0707 Co
4.4926 0.8614 10.0549 Co
6.1239 3.5118 7.9912 Co
3.0125 3.4425 10.0549 Co
4.6142 4.3609 5.0694 Co
7.6502 4.3871 5.0537 Co
6.2028 3.5570 2.5682 Sb
4.5943 2.6347 -0.0544 Sb
2.9040 1.6653 12.5562 Sb
-0.0409 -0.0235 7.6166 Sb

***

Co2SnSbO6 PBE with a Hubbard U relaxed; raw total energy = -6.054 eV per atom; space-group type = R3 (146)
1.0
-1.1819 1.2895 -5.0900
-0.4490 -3.8648 -3.7213
-5.2089 -1.2605 -1.9542
Co O Sn Sb
2 6 1 1
Cartesian
-3.0705 -1.8880 -5.4561 Co
-4.8667 -1.2307 -2.0269 Co
-4.7588 -3.1716 -6.2623 O
-2.6959 -1.5102 -7.4447 O
-2.0005 -3.5874 -5.0017 O
-4.8372 -0.4653 -5.5240 O
-2.1579 -0.3612 -4.4190 O
-4.2633 -2.4279 -3.6038 O
-4.2491 -2.8014 -8.2595 Sn
-0.8267 -0.8829 -2.8771 Sb

***

SrCoSbO6 PBE with a Hubbard U relaxed; raw total energy = -5.980 eV per atom; space-group type = P312 (149)
1.0
-0.7993 4.9920 0.9631
-2.4881 1.4305 4.2722
4.7366 0.2419 2.6774
O Sr Sb Co
6 1 1 1
Cartesian
1.8035 1.1289 4.4833 O
1.9054 3.7288 4.0686 O
0.8815 3.1204 1.4611 O
2.9775 2.0733 2.3215 O
0.4615 0.7034 2.4223 O
-0.3947 2.8148 3.7460 O
-0.7993 4.9918 0.9632 Sr
0.1767 4.4024 4.8289 Sb
1.2725 2.2617 3.0838 Co

***

SrCoSbO5 PBE with a Hubbard U relaxed; raw total energy = -6.207 eV per atom; space-group type = C2/c (15)
1.0
5.8382 -0.0741 -0.0076
-1.7751 5.5622 -0.0076
-1.6870 -2.2787 6.8898
O Co Sr Sb
10 2 2 2
Cartesian
-1.6404 4.5806 1.7149 O
-0.1570 0.7025 3.9796 O
4.5645 1.3317 0.6766 O
0.8147 2.0151 6.3399 O
-0.9023 3.6151 4.1215 O
-2.1885 1.8777 6.1980 O
4.0164 -1.3712 5.1597 O
2.5330 2.5068 2.8950 O
1.5613 1.1943 0.5347 O
3.2783 -0.4057 2.7531 O
-0.6258 2.0656 5.1597 Co
3.0018 1.1438 1.7149 Co
2.0326 0.0975 5.1597 Sr
0.3434 3.1119 1.7149 Sr
0.0000 0.0000 0.0000 Sb
-0.8435 -1.1394 3.4449 Sb